## a
LaNd3Pb2: optimized geometry, PBE.

a b c (Å): 4.704 4.704 9.021
angles (deg): 90.00 90.00 90.00
Fractional positions:
La 0.500 0.500 0.000
Nd 0.500 0.000 0.350
Nd 0.000 0.500 0.650
Nd 0.000 0.000 0.000
Pb 0.500 0.000 0.715
Pb 0.000 0.500 0.285

As for the density of states at the Fermi level: 7.997 states/eV/cell. Its density is 8204 kg/m³. As for the space-group type: P-4m2 (115).

---

## b
LaNd3Pb2: optimized geometry, PBE.

a b c (Å): 4.755 10.755 9.968
angles (deg): 123.99 90.00 102.77
Fractional positions:
La 0.885 0.770 0.900
La 0.115 0.230 0.100
Nd 0.307 0.615 0.503
Nd 0.944 0.887 0.573
Nd 0.646 0.291 0.811
Nd 0.354 0.709 0.189
Nd 0.056 0.113 0.427
Nd 0.693 0.385 0.497
Pb 0.492 0.984 0.834
Pb 0.508 0.016 0.166
Pb 0.755 0.511 0.223
Pb 0.245 0.489 0.777

As for the density of states at the Fermi level: 14.261 states/eV/cell. Its density is 8039 kg/m³. As for the space-group type: C2/m (12).

---

Short version: a is the most stable of them.

---

## a
La8Nd2Pb: optimized geometry, PBE.

a b c (Å): 5.078 8.320 9.806
angles (deg): 104.71 105.01 90.00
Fractional positions:
La 0.590 0.443 0.180
La 0.324 0.089 0.648
La 0.135 0.180 0.271
La 0.044 0.735 0.089
La 0.865 0.820 0.729
La 0.676 0.911 0.352
La 0.410 0.557 0.820
La 0.956 0.265 0.911
Nd 0.227 0.637 0.454
Nd 0.773 0.363 0.546
Pb 0.500 0.000 0.000

As for the density of states at the Fermi level: 15.659 states/eV/cell. Its density is 6911 kg/m³. As for the space-group type: C2/m (12).

---

## b
La8Nd2Pb: optimized geometry, PBE.

a b c (Å): 6.608 10.398 10.398
angles (deg): 38.37 117.31 117.31
Fractional positions:
La 0.246 0.438 0.908
La 0.754 0.092 0.562
La 0.334 0.889 0.889
La 0.666 0.111 0.111
La 0.246 0.908 0.438
La 0.754 0.562 0.092
La 0.755 0.501 0.501
La 0.245 0.499 0.499
Nd 0.767 0.678 0.678
Nd 0.233 0.322 0.322
Pb 0.000 0.000 0.000

As for the density of states at the Fermi level: 16.352 states/eV/cell. Its density is 6883 kg/m³. As for the space-group type: C2/m (12).

---

Short version: a is the most stable of them.

---

## a
LaNd3Pb4: optimized geometry, PBE.

a b c (Å): 5.163 5.163 9.877
angles (deg): 105.02 105.15 90.00
Each line ends with the local moment (μB).
Fractional positions:
Pb 0.374 0.374 0.748  0.00
Pb 0.626 0.626 0.252  0.00
Pb 0.126 0.126 0.252  0.00
Pb 0.874 0.874 0.748  0.00
Nd 0.000 0.500 0.000  -0.08
Nd 0.751 0.251 0.502  0.09
Nd 0.249 0.749 0.498  0.09
La 0.500 0.000 0.000  -0.06

As for the density of states at the Fermi level: 7.955 states/eV/cell. Its density is 9500 kg/m³. As for the space-group type: C2/m (12).

---

## b
LaNd3Pb4: optimized geometry, PBE.

a b c (Å): 3.707 7.494 10.413
angles (deg): 111.09 100.25 90.00
Fractional positions:
La 0.500 0.000 0.000
Nd 0.000 0.500 0.000
Nd 0.218 0.218 0.435
Nd 0.782 0.782 0.565
Pb 0.371 0.583 0.742
Pb 0.629 0.417 0.258
Pb 0.629 0.841 0.258
Pb 0.371 0.159 0.742

As for the density of states at the Fermi level: 7.983 states/eV/cell. Its density is 8777 kg/m³. As for the space-group type: Immm (71).

---

Short version: a is the most stable of them.

---

## a
LaNd2Pb3: optimized geometry, PBE.

a b c (Å): 5.131 9.382 9.382
angles (deg): 111.33 105.88 105.88
Fractional positions:
La 0.250 0.583 0.417
La 0.750 0.417 0.583
Nd 0.250 0.917 0.083
Nd 0.250 0.249 0.751
Nd 0.750 0.083 0.917
Nd 0.750 0.751 0.249
Pb 0.997 0.162 0.332
Pb 0.497 0.332 0.162
Pb 0.000 0.500 0.000
Pb 0.003 0.838 0.668
Pb 0.500 0.000 0.500
Pb 0.503 0.668 0.838

As for the density of states at the Fermi level: 11.904 states/eV/cell. Its density is 9471 kg/m³. As for the space-group type: Imma (74).

---

## b
LaNd2Pb3: optimized geometry, PBE.

a b c (Å): 8.154 8.154 9.263
angles (deg): 90.00 90.00 143.33
Fractional positions:
La 0.334 0.666 0.000
La 0.666 0.334 0.000
Nd 0.000 0.000 0.000
Nd 0.000 0.000 0.500
Nd 0.333 0.667 0.500
Nd 0.667 0.333 0.500
Pb 0.834 0.166 0.747
Pb 0.500 0.500 0.252
Pb 0.166 0.834 0.253
Pb 0.834 0.166 0.253
Pb 0.166 0.834 0.747
Pb 0.500 0.500 0.748

As for the density of states at the Fermi level: 12.212 states/eV/cell. Its density is 9472 kg/m³. As for the space-group type: Cmmm (65).

---

Short version: b is the most stable of them.

---

## a
LaNdPd4: optimized geometry, PBE.

a b c (Å): 5.555 5.555 5.555
angles (deg): 60.00 60.00 60.00
Fractional positions:
Nd 0.000 0.000 0.000
Pd 0.625 0.625 0.125
Pd 0.625 0.125 0.625
Pd 0.625 0.625 0.625
Pd 0.125 0.625 0.625
La 0.250 0.250 0.250

As for the density of states at the Fermi level: 2.108 states/eV/cell. Its density is 9711 kg/m³. As for the space-group type: F-43m (216).

---

## b
LaNdPd4: optimized geometry, PBE.

a b c (Å): 4.305 5.936 10.222
angles (deg): 90.00 102.16 90.00
Fractional positions:
La 0.422 0.250 0.843
La 0.578 0.750 0.157
Nd 0.724 0.250 0.448
Nd 0.276 0.750 0.552
Pd 0.000 0.000 0.000
Pd 0.000 0.500 0.000
Pd 0.146 0.016 0.292
Pd 0.854 0.516 0.708
Pd 0.146 0.484 0.292
Pd 0.854 0.984 0.708
Pd 0.573 0.250 0.146
Pd 0.427 0.750 0.854

As for the density of states at the Fermi level: 3.254 states/eV/cell. Its density is 9218 kg/m³. As for the space-group type: Cmcm (63).

---

Short version: b is the most stable of them.

---

## a
LaNd3Pd2: optimized geometry, PBE.

a b c (Å): 4.106 9.270 10.615
angles (deg): 116.66 90.00 102.80
Fractional positions:
La 0.893 0.786 0.987
La 0.107 0.214 0.013
Nd 0.287 0.574 0.653
Nd 0.943 0.887 0.612
Nd 0.636 0.273 0.733
Nd 0.364 0.727 0.267
Nd 0.057 0.113 0.388
Nd 0.713 0.426 0.347
Pd 0.476 0.951 0.843
Pd 0.524 0.049 0.157
Pd 0.743 0.487 0.084
Pd 0.257 0.513 0.916

As for the density of states at the Fermi level: 12.160 states/eV/cell. Its density is 7447 kg/m³. As for the space-group type: C2/m (12).

---

## b
LaNd3Pd2: optimized geometry, PBE.

a b c (Å): 7.037 7.423 8.071
angles (deg): 105.71 90.00 118.29
Fractional positions:
La 0.249 0.000 0.250
La 0.751 0.000 0.750
Nd 0.249 0.000 0.750
Nd 0.751 0.000 0.250
Nd 0.783 0.570 0.892
Nd 0.213 0.430 0.608
Nd 0.787 0.570 0.392
Nd 0.217 0.430 0.108
Pd 0.381 0.761 0.440
Pd 0.380 0.761 0.940
Pd 0.620 0.239 0.060
Pd 0.619 0.239 0.560

As for the density of states at the Fermi level: 15.909 states/eV/cell. Its density is 7375 kg/m³. As for the space-group type: C2/c (15).

---

Short version: a is the most stable of them.

---

## a
LaNd2Pd: optimized geometry, PBE.

a b c (Å): 6.683 7.305 10.202
angles (deg): 90.00 90.00 90.00
Fractional positions:
La 0.643 0.525 0.250
La 0.857 0.025 0.250
La 0.357 0.475 0.750
La 0.143 0.975 0.750
Nd 0.167 0.678 0.061
Nd 0.333 0.178 0.439
Nd 0.833 0.322 0.561
Nd 0.667 0.822 0.939
Nd 0.833 0.322 0.939
Nd 0.667 0.822 0.561
Nd 0.167 0.678 0.439
Nd 0.333 0.178 0.061
Pd 0.072 0.381 0.250
Pd 0.428 0.881 0.250
Pd 0.928 0.619 0.750
Pd 0.572 0.119 0.750

As for the density of states at the Fermi level: 18.991 states/eV/cell. Its density is 7119 kg/m³. As for the space-group type: Pnma (62).

---

## b
LaNd2Pd: optimized geometry, PBE.

a b c (Å): 3.672 3.672 8.921
angles (deg): 90.00 90.00 90.00
Fractional positions:
Nd 0.000 0.000 0.805
Nd 0.000 0.000 0.195
Pd 0.500 0.500 0.000
La 0.500 0.500 0.500

As for the density of states at the Fermi level: 6.587 states/eV/cell. Its density is 7369 kg/m³. As for the space-group type: P4/mmm (123).

---

Short version: a is the most stable of them.

---

## a
LaNd2Pd: optimized geometry, PBE.

a b c (Å): 3.745 3.745 11.172
angles (deg): 80.35 80.35 60.00
Each line ends with the local moment (μB).
Fractional positions:
Nd 0.108 0.108 0.677  0.02
Nd 0.892 0.892 0.323  0.02
Pd 0.500 0.500 0.500  0.00
La 0.000 0.000 0.000  0.20

As for the density of states at the Fermi level: 6.133 states/eV/cell. Its density is 6659 kg/m³. As for the space-group type: R-3m (166).

---

## b
LaNd2Pd: optimized geometry, PBE.

a b c (Å): 3.974 3.974 9.904
angles (deg): 78.43 78.43 60.00
Fractional positions:
La 0.501 0.501 0.498
Nd 0.062 0.062 0.814
Nd 0.271 0.271 0.187
Pd 0.666 0.666 0.001

As for the density of states at the Fermi level: 4.756 states/eV/cell. Its density is 6728 kg/m³. As for the space-group type: R3m (160).

---

Short version: b is the most stable of them.